Entry 1:
Compound: Ho4TlCd2
Source: Alexandria
Functional: PBE-GGA
Structure: relaxed

Cell: 5.0211 5.0211 29.4753 Å, 90.00 90.00 120.00°
Closest atoms and distances in Å follow each position.
Space group R-3m (No. 166, hexagonal axes)
One atom of each set of equivalent atoms:
Ho: 0.0000 0.0000 0.1210 x6  3 Tl 3.20, 3 Cd 3.29
Ho: 0.0000 0.0000 0.2986 x6  4 Cd 3.04-3.06
Tl: 0.0000 0.0000 0.5000 x3  2 Cd 2.90, 6 Ho 3.20
Cd: 0.0000 0.0000 0.4015 x6  1 Tl 2.90, 4 Ho 3.04-3.06

Computed properties:
* VASP energy: -22.38 eV/f.u.
* excess energy over the best structure of this formula in the dataset: 159 meV/atom
* energy of formation from the pure elements: 17.9 meV per atom



Entry 2:
Compound: LaSi2P
Source: Alexandria
Functional: PBE-GGA
Structure: relaxed

Cell: 9.0653 3.6618 5.0908 Å, 90.00 107.87 90.00°
Closest atoms and distances in Å follow each position.
Space group C2/m (No. 12)
One atom of each set of equivalent atoms:
La: 0.0000 0.0000 0.0000 x2  8 Si 3.13-3.24, 4 P 3.14
Si: 0.2218 0.0000 0.6343 x4  2 Si 2.43, 2 P 2.65
P: 0.0000 0.5000 0.5000 x2  6 Si 2.65-2.81

Computed properties:
* VASP energy: -22.85 eV/f.u.
* raw formation energy: -0.417 eV/atom



Entry 3:
Compound: LiAcPd3Pb
Source: Alexandria
Functional: PBE-GGA
Structure: relaxed

Cell: 5.9106 12.6039 7.0205 Å, 90.00 90.00 90.00°
Closest atoms and distances in Å follow each position.
Space group Cmcm (No. 63)
One atom of each set of equivalent atoms:
Li: 0.0000 0.0735 0.2500 x4  5 Pd 2.47-2.74
Ac: 0.0000 0.3263 0.2500 x4  6 Pd 2.98-3.17, 1 Li 3.19
Pd: 0.0000 0.1439 0.7500 x4  1 Li 2.74, 1 Pb 2.81, 4 Pd 2.92, 2 Ac 2.98
Pd: 0.2500 0.0000 0.0000 x8  2 Li 2.47
Pb: 0.0000 0.3666 0.7500 x4  5 Pd 2.81-2.84, 2 Li 3.05

Computed properties:
* VASP energy: -28.19 eV/f.u.
* energy of formation from the pure elements: -480.7 meV per atom



Entry 4:
Compound: Tb2TlIr
Source: Alexandria
Functional: PBE-GGA
Structure: relaxed

Cell: 3.5316 3.5316 7.7582 Å, 90.00 90.00 90.00°
Closest atoms and distances in Å follow each position.
Space group P4/mmm (No. 123)
One atom of each set of equivalent atoms:
Tb: 0.0000 0.0000 0.2114 x2  4 Ir 2.99, 1 Tb 3.28
Tl: 0.5000 0.5000 0.5000 x1  8 Tb 3.35, 4 Tl 3.53
Ir: 0.5000 0.5000 0.0000 x1  8 Tb 2.99

Computed properties:
* VASP energy: -22.87 eV/f.u.
* excess energy over the best structure of this formula in the dataset: 0 meV/atom
* energy of formation from the pure elements: -596.0 meV per atom



Entry 5:
Compound: BaCu2P2S7
Source: Alexandria
Functional: PBE-GGA
Structure: relaxed

Cell: 6.3374 6.3374 30.0906 Å, 90.00 90.00 120.00°
Closest atoms and distances in Å follow each position.
Space group R32 (No. 155, hexagonal axes)
One atom of each set of equivalent atoms:
Ba: 0.0000 0.0000 0.0000 x3  6 S 3.17
Cu: 0.0000 0.0000 0.2502 x6  3 S 2.21
P: 0.0000 0.0000 0.4287 x6  4 S 2.05-2.14
S: 0.0000 0.0000 0.5000 x3  2 P 2.14
S: 0.0040 0.3134 0.5897 x18  1 P 2.05, 1 Cu 2.21

Computed properties:
* VASP energy: -54.90 eV/f.u.
* raw formation energy: -0.423 eV/atom



Entry 6:
Compound: Na2Cu2SbTe4
Source: Alexandria
Functional: PBE-GGA
Structure: relaxed

Cell: 16.2260 4.1570 8.0551 Å, 90.00 115.00 90.00°
Closest atoms and distances in Å follow each position.
Space group C2/m (No. 12)
One atom of each set of equivalent atoms:
Na: 0.1315 0.0000 0.0567 x4  7 Te 3.25-3.53, 1 Cu 3.48
Cu: 0.1999 0.5000 0.4963 x4  2 Cu 2.62, 4 Te 2.64-2.75
Sb: 0.0000 0.0000 0.5000 x2  6 Te 3.04-3.07
Te: 0.0206 0.5000 0.2449 x4  1 Cu 2.75, 2 Sb 3.04
Te: 0.2078 0.0000 0.7067 x4  3 Cu 2.64-2.65

Computed properties:
* VASP energy: -30.84 eV/f.u.
* raw formation energy: -0.369 eV/atom



Entry 7:
Compound: CsRb2NaH
Source: Alexandria
Functional: PBE-GGA
Structure: relaxed

Cell: 5.9942 5.9942 7.3417 Å, 90.00 90.00 90.00°
Closest atoms and distances in Å follow each position.
Space group P4/mmm (No. 123)
One atom of each set of equivalent atoms:
Cs: 0.0000 0.0000 0.0000 x1  4 Na 4.24, 8 Rb 4.74
Rb: 0.0000 0.5000 0.5000 x2  2 H 3.00
Na: 0.5000 0.5000 0.0000 x1  2 H 3.67
H: 0.5000 0.5000 0.5000 x1  4 Rb 3.00

Computed properties:
* VASP energy: -6.91 eV/f.u.
* excess energy over the best structure of this formula in the dataset: 116 meV/atom



Entry 8:
Compound: BaHfNbRe2
Source: Alexandria
Functional: PBE-GGA
Structure: relaxed

Cell: 5.0439 5.0439 5.0934 Å, 90.00 90.00 90.00°
Closest atoms and distances in Å follow each position.
Space group P4/mmm (No. 123)
One atom of each set of equivalent atoms:
Ba: 0.0000 0.0000 0.0000 x1  4 Nb 3.57, 8 Re 3.58
Hf: 0.5000 0.5000 0.5000 x1  4 Re 2.52, 2 Nb 2.55
Nb: 0.5000 0.5000 0.0000 x1  2 Hf 2.55
Re: 0.0000 0.5000 0.5000 x2  2 Hf 2.52

Computed properties:
* VASP energy: -38.17 eV/f.u.
* energy of formation from the pure elements: 1734.8 meV per atom